(1)
12
Lattice="4.838 0.000 0.000 0.000 6.940 0.000 -2.410 0.000 7.261" Properties=species:S:1:pos:R:3 comment="PBE-GGA Y6IrRh5, optimized geometry" e_form_kj_per_mol_fu=-972 volume_a3_per_atom=20.3 sg="No. 10" final_energy_ev_per_atom=-7.87 pbc="T T T"
Y 0.000 1.727 0.000
Y 0.000 5.214 0.000
Y 0.006 1.733 4.852
Y 0.006 5.207 4.852
Y 2.422 1.733 2.410
Y 2.422 5.207 2.410
Ir 2.419 0.000 0.000
Rh 0.003 3.470 2.420
Rh 0.002 0.000 2.441
Rh 2.419 3.470 0.000
Rh 2.425 0.000 4.820
Rh 2.425 3.470 4.841

***

(2)
4
Lattice="4.327 0.000 0.000 0.000 4.104 0.000 -2.020 0.000 5.227" Properties=species:S:1:pos:R:3 comment="PBE-GGA LaP2Se, optimized geometry" volume_a3_per_atom=23.2 sg="No. 6" e_form_raw_mev_per_atom=-944 final_energy_ev_per_atom=-5.75 pbc="T T T"
La 0.000 0.000 0.000
P 0.170 0.000 3.080
P 1.231 2.052 3.127
Se 2.135 2.052 0.906

***

(3)
12
Lattice="6.811 0.000 0.000 0.000 6.811 0.000 0.000 0.000 6.811" Properties=species:S:1:pos:R:3 comment="PBE-GGA TbPmNi, optimized geometry" e_form_kj_per_mol_fu=-29 de_polymorph_ev_per_fu=0.262 volume_a3_per_atom=26.3 sg="No. 216" final_energy_ev_per_atom=-5.16 pbc="T T T"
Tb 0.000 0.000 0.000
Tb 0.000 3.406 3.406
Tb 3.406 0.000 3.406
Tb 3.406 3.406 0.000
Pm 0.000 0.000 3.406
Pm 0.000 3.406 0.000
Pm 3.406 0.000 0.000
Pm 3.406 3.406 3.406
Ni 1.703 1.703 1.703
Ni 1.703 5.108 5.108
Ni 5.108 1.703 5.108
Ni 5.108 5.108 1.703

***

(4)
12
Lattice="-4.356 4.356 5.652 4.356 -4.356 5.652 4.356 4.356 -5.652" Properties=species:S:1:pos:R:3 comment="PBE-GGA Nd3Dy8Sc, optimized geometry" e_form_kj_per_mol_fu=680 volume_a3_per_atom=35.7 sg="No. 121" final_energy_ev_per_atom=-4.20 pbc="T T T"
Nd 0.000 0.000 0.000
Nd 4.356 0.000 2.826
Nd 0.000 4.356 2.826
Dy 1.096 -1.096 2.949
Dy 2.320 2.320 -0.290
Dy 2.035 -2.035 5.942
Dy -1.096 1.096 2.949
Dy 3.260 3.260 2.703
Dy 2.035 2.035 5.362
Dy -2.035 2.035 5.942
Dy 1.096 1.096 8.354
Sc 0.000 0.000 5.652

***

(5)
12
Lattice="2.959 0.000 0.000 -1.480 2.563 0.000 0.000 0.000 28.391" Properties=species:S:1:pos:R:3 comment="PBE-GGA OsCl, optimized geometry" de_polymorph_ev_per_fu=0.584 volume_a3_per_atom=17.9 sg="No. 166" e_form_raw_mev_per_atom=416 final_energy_ev_per_atom=-6.12 pbc="T T T"
Os 0.000 0.000 3.758
Os 0.000 0.000 24.633
Os 0.000 1.708 15.169
Os 0.000 1.708 22.685
Os 1.480 0.854 5.706
Os 1.480 0.854 13.222
Cl 0.000 0.000 11.259
Cl 0.000 0.000 17.132
Cl 0.000 1.708 1.796
Cl 0.000 1.708 7.668
Cl 1.480 0.854 20.723
Cl 1.480 0.854 26.595

***

(6)
12
Lattice="4.583 0.000 0.000 -2.291 3.969 0.000 0.000 0.000 16.343" Properties=species:S:1:pos:R:3 comment="PBE-GGA LaTlPt2, optimized geometry" e_form_kj_per_mol_fu=-233 volume_a3_per_atom=24.8 sg="No. 160" final_energy_ev_per_atom=-5.45 pbc="T T T"
La 0.000 0.000 0.000
La 0.000 2.646 10.896
La 2.291 1.323 5.448
Tl 0.000 0.000 13.057
Tl 0.000 2.646 7.609
Tl 2.291 1.323 2.161
Pt 0.000 0.000 3.714
Pt 0.000 0.000 9.153
Pt 0.000 2.646 3.705
Pt 0.000 2.646 14.610
Pt 2.291 1.323 9.162
Pt 2.291 1.323 14.601

***

(7)
16
Lattice="6.971 0.000 0.000 0.000 6.971 0.000 0.000 0.000 6.971" Properties=species:S:1:pos:R:3 comment="PBE-GGA Mn2HgCl, optimized geometry" de_polymorph_ev_per_fu=2.618 volume_a3_per_atom=21.2 sg="No. 216" e_form_raw_mev_per_atom=720 final_energy_ev_per_atom=-4.40 pbc="T T T"
Mn 0.000 0.000 0.000
Mn 0.000 3.486 3.486
Mn 1.743 1.743 1.743
Mn 1.743 5.228 5.228
Mn 3.486 0.000 3.486
Mn 3.486 3.486 0.000
Mn 5.228 1.743 5.228
Mn 5.228 5.228 1.743
Hg 1.743 1.743 5.228
Hg 1.743 5.228 1.743
Hg 5.228 1.743 1.743
Hg 5.228 5.228 5.228
Cl 0.000 0.000 3.486
Cl 0.000 3.486 0.000
Cl 3.486 0.000 0.000
Cl 3.486 3.486 3.486

***

(8)
8
Lattice="3.788 0.000 0.000 0.000 3.788 0.000 0.000 0.000 7.910" Properties=species:S:1:pos:R:3 comment="PBE-GGA BeCoAu2, optimized geometry" e_form_kj_per_mol_fu=76 volume_a3_per_atom=14.2 sg="No. 119" final_energy_ev_per_atom=-4.15 pbc="T T T"
Be 0.000 0.000 0.000
Be 1.894 1.894 3.955
Co 0.000 1.894 5.933
Co 1.894 0.000 1.978
Au 0.000 0.000 3.955
Au 0.000 1.894 1.978
Au 1.894 0.000 5.933
Au 1.894 1.894 0.000